Entry 1:
{"formula": "Pa2TlHg2O7", "functional": "PBE-GGA", "state": "relaxed", "lattice_angstrom": [[4.3337, 0.0000, 0.0000], [0.0000, 4.3799, -0.0010], [-2.1668, -2.1924, 11.3012]], "species": ["Pa", "Pa", "O", "O", "O", "O", "O", "O", "O", "Hg", "Hg", "Tl"], "fractional_positions": [[0.5975, 0.5977, 0.1949], [0.4025, 0.4023, 0.8051], [0.5984, 0.0986, 0.1968], [0.0964, 0.5966, 0.1928], [0.7008, 0.7016, 0.4017], [0.2992, 0.2984, 0.5983], [0.4016, 0.9013, 0.8032], [0.5000, 0.5000, 0.0000], [0.9036, 0.4033, 0.8072], [0.2682, 0.7676, 0.5363], [0.7318, 0.2324, 0.4637], [0.0000, 0.9999, 0.0000]], "magnetic_moment_mub_per_fu": 0.00, "e_form_raw_ev_per_atom": -2.17}

=====

Entry 2:
{"formula": "Pa3Tl4HgO12", "functional": "PBE-GGA", "state": "relaxed", "lattice_angstrom": [[-2.5307, -0.5226, 7.1601], [-0.5436, -6.7961, -3.3857], [7.2745, 2.2417, 0.0372]], "species": ["Tl", "Tl", "Tl", "Tl", "O", "O", "O", "O", "O", "O", "O", "O", "O", "O", "O", "O", "Pa", "Pa", "Pa", "Hg"], "fractional_positions": [[0.0000, 0.0000, 0.5000], [0.5000, 0.5000, 0.5000], [0.0000, 0.5000, 0.0000], [0.5000, 0.0000, 0.0000], [0.2500, 0.5000, 0.7500], [0.7390, 0.0000, 0.7390], [0.5000, 0.2500, 0.7500], [0.2500, 0.7500, 0.5000], [0.0000, 0.2610, 0.2610], [0.5000, 0.7500, 0.2500], [0.2610, 0.2610, 0.0000], [0.0000, 0.7390, 0.7390], [0.7500, 0.5000, 0.2500], [0.7500, 0.2500, 0.5000], [0.2610, 0.0000, 0.2610], [0.7390, 0.7390, 0.0000], [0.5000, 0.0000, 0.5000], [0.5000, 0.5000, 0.0000], [0.0000, 0.5000, 0.5000], [0.0000, 0.0000, 0.0000]], "magnetic_moment_mub_per_fu": 0.00, "e_form_raw_ev_per_atom": -2.02}

=====

Entry 3:
{"formula": "TmPaHgO6", "functional": "PBE-GGA", "state": "relaxed", "lattice_angstrom": [[-0.8994, 4.2553, -2.2712], [-1.3182, -2.7739, -4.6752], [-3.9643, 1.1733, 3.7680]], "species": ["O", "O", "O", "O", "O", "O", "Pa", "Tm", "Hg"], "fractional_positions": [[0.7479, 0.0149, 0.3431], [0.7479, 0.6569, 0.6717], [0.2521, 0.3283, 0.3431], [0.7479, 0.3283, 0.9851], [0.2521, 0.6569, 0.9851], [0.2521, 0.0149, 0.6717], [0.0000, 0.3333, 0.6667], [0.5000, 0.0000, 0.0000], [0.5000, 0.6667, 0.3333]], "magnetic_moment_mub_per_fu": 1.81, "e_form_raw_ev_per_atom": -2.22}

=====

Entry 4:
{"formula": "YPaHg2O8", "functional": "PBE-GGA", "state": "relaxed", "lattice_angstrom": [[6.2816, 0.3640, 0.0000], [-2.4598, 5.7914, 0.0000], [-1.9109, -3.0777, 5.1446]], "species": ["O", "O", "O", "O", "O", "O", "O", "O", "Hg", "Hg", "Y", "Pa"], "fractional_positions": [[0.3248, 0.0118, 0.3129], [0.2588, 0.4349, 0.1761], [0.9882, 0.3011, 0.3129], [0.2588, 0.0826, 0.8239], [0.9882, 0.6752, 0.6871], [0.9174, 0.7412, 0.1761], [0.6989, 0.0118, 0.6871], [0.5651, 0.7412, 0.8239], [0.7500, 0.2500, 0.5000], [0.5000, 0.5000, 0.0000], [0.2500, 0.7500, 0.5000], [0.0000, 0.0000, 0.0000]], "magnetic_moment_mub_per_fu": 0.00, "e_form_raw_ev_per_atom": -1.52}

=====

Entry 5:
{"formula": "YPaHg2O6", "functional": "PBE-GGA", "state": "relaxed", "lattice_angstrom": [[-1.1575, 2.8096, 5.0260], [0.4357, -2.8420, 5.1214], [4.7402, 1.3993, 3.7424]], "species": ["O", "O", "O", "O", "O", "O", "Hg", "Hg", "Y", "Pa"], "fractional_positions": [[0.6931, 0.0563, 0.7994], [0.1813, 0.9391, 0.3033], [0.5763, 0.1812, 0.3032], [0.0562, 0.4511, 0.7996], [0.9392, 0.5763, 0.3033], [0.4510, 0.6932, 0.7995], [0.0619, 0.0621, 0.8139], [0.5701, 0.5699, 0.2900], [0.3162, 0.3162, 0.0515], [0.8162, 0.8162, 0.5515]], "magnetic_moment_mub_per_fu": 0.00, "e_form_raw_ev_per_atom": -2.23}

=====

Entry 6:
{"formula": "PaZnHgO6", "functional": "PBE-GGA", "state": "relaxed", "lattice_angstrom": [[4.7477, 0.0000, 0.0000], [0.0000, 5.4153, 0.0000], [0.0000, -2.7076, 4.6898]], "species": ["O", "O", "O", "O", "O", "O", "Hg", "Zn", "Pa"], "fractional_positions": [[0.7436, 0.0066, 0.3287], [0.7436, 0.6713, 0.6779], [0.7436, 0.3221, 0.9934], [0.2564, 0.3221, 0.3287], [0.2564, 0.6713, 0.9934], [0.2564, 0.0066, 0.6779], [0.5000, 0.6667, 0.3333], [0.5000, 0.0000, 0.0000], [0.0000, 0.3333, 0.6667]], "magnetic_moment_mub_per_fu": 0.42, "e_form_raw_ev_per_atom": -1.41}

=====

Entry 7:
{"formula": "PaZn2HgO6", "functional": "PBE-GGA", "state": "relaxed", "lattice_angstrom": [[-3.4501, -4.4119, -1.1325], [-0.9929, -2.3958, 6.7497], [-6.3537, 3.4303, 0.3841]], "species": ["O", "O", "O", "O", "O", "O", "O", "O", "O", "O", "O", "O", "Zn", "Zn", "Zn", "Zn", "Hg", "Hg", "Pa", "Pa"], "fractional_positions": [[0.6347, 0.4419, 0.2847], [0.6149, 0.7870, 0.9927], [0.8653, 0.7153, 0.5581], [0.1347, 0.2847, 0.4419], [0.3851, 0.2130, 0.0073], [0.1149, 0.9927, 0.7870], [0.8851, 0.0073, 0.2130], [0.5985, 0.1604, 0.6083], [0.3653, 0.5581, 0.7153], [0.0985, 0.6083, 0.1604], [0.9015, 0.3917, 0.8396], [0.4015, 0.8396, 0.3917], [0.6741, 0.6091, 0.7759], [0.8259, 0.2241, 0.3909], [0.3259, 0.3909, 0.2241], [0.1741, 0.7759, 0.6091], [0.7500, 0.0971, 0.9029], [0.2500, 0.9029, 0.0971], [0.7500, 0.7147, 0.2853], [0.2500, 0.2853, 0.7147]], "magnetic_moment_mub_per_fu": 0.00, "e_form_raw_ev_per_atom": -1.75}

=====

Entry 8:
{"formula": "HgPb3O6", "functional": "PBE-GGA", "state": "relaxed", "lattice_angstrom": [[5.8415, 0.0000, 0.0000], [0.0000, 7.4442, -0.0646], [0.0000, -1.7242, 7.2420]], "species": ["O", "O", "O", "O", "O", "O", "O", "O", "O", "O", "O", "O", "Pb", "Pb", "Pb", "Pb", "Pb", "Pb", "Hg", "Hg"], "fractional_positions": [[0.1661, 0.6792, 0.6299], [0.2387, 0.4529, 0.8839], [0.1661, 0.3701, 0.3208], [0.7387, 0.8839, 0.4529], [0.1300, 0.7833, 0.2167], [0.7387, 0.5471, 0.1161], [0.2640, 0.0531, 0.9469], [0.6661, 0.6299, 0.6792], [0.6300, 0.2167, 0.7833], [0.6661, 0.3208, 0.3701], [0.7640, 0.9469, 0.0531], [0.2387, 0.1161, 0.5471], [0.9060, 0.6011, 0.3989], [0.4060, 0.3989, 0.6011], [0.9547, 0.6723, 0.9178], [0.9547, 0.0822, 0.3277], [0.4547, 0.3277, 0.0822], [0.4547, 0.9178, 0.6723], [0.9664, 0.1580, 0.8420], [0.4664, 0.8420, 0.1580]], "magnetic_moment_mub_per_fu": 0.00, "e_form_raw_ev_per_atom": -0.72}

=====

Entry 9:
{"formula": "Hg2Pb3O8", "functional": "PBE-GGA", "state": "relaxed", "lattice_angstrom": [[-4.6237, -3.5266, -0.2998], [4.0660, -5.2473, -0.9839], [-0.6873, 2.6494, 5.9158]], "species": ["Hg", "Hg", "O", "O", "O", "O", "O", "O", "O", "O", "Pb", "Pb", "Pb"], "fractional_positions": [[0.3938, 0.2943, 0.5887], [0.6062, 0.7057, 0.4113], [0.9043, 0.6070, 0.2139], [0.3730, 0.8954, 0.2351], [0.0957, 0.3930, 0.7861], [0.1220, 0.8991, 0.7981], [0.3730, 0.3397, 0.2351], [0.6270, 0.6603, 0.7649], [0.8780, 0.1009, 0.2019], [0.6270, 0.1046, 0.7649], [0.0000, 0.2555, 0.0000], [0.0000, 0.7445, 0.0000], [0.5000, 0.0000, 0.0000]], "magnetic_moment_mub_per_fu": 0.00, "e_form_raw_ev_per_atom": -0.64}

=====

Entry 10:
{"formula": "Hg2PbO2", "functional": "PBE-GGA", "state": "relaxed", "lattice_angstrom": [[-3.0435, -1.4669, -1.9935], [-1.0666, -2.0740, 3.1543], [-5.5274, 2.8770, 2.4620]], "species": ["O", "O", "Hg", "Hg", "Pb"], "fractional_positions": [[0.3875, 0.3875, 0.2251], [0.6125, 0.6125, 0.7749], [0.7500, 0.2500, 0.5000], [0.2500, 0.7500, 0.5000], [0.0000, 0.0000, 0.0000]], "magnetic_moment_mub_per_fu": 0.00, "e_form_raw_ev_per_atom": 0.05}

=====

Entry 11:
{"formula": "Hg2PbO2", "functional": "PBE-GGA", "state": "relaxed", "lattice_angstrom": [[-1.2332, -1.2101, 7.0900], [-5.8120, -4.0699, -1.7056], [2.2258, -3.1177, -0.1450]], "species": ["Hg", "Hg", "Hg", "Hg", "O", "O", "O", "O", "Pb", "Pb"], "fractional_positions": [[0.3712, 0.1288, 0.5000], [0.8712, 0.3712, 0.5000], [0.1288, 0.6288, 0.5000], [0.6288, 0.8712, 0.5000], [0.7552, 0.7448, 0.0000], [0.2552, 0.7552, 0.0000], [0.7448, 0.2448, 0.0000], [0.2448, 0.2552, 0.0000], [0.5000, 0.5000, 0.0000], [0.0000, 0.0000, 0.0000]], "magnetic_moment_mub_per_fu": 0.00, "e_form_raw_ev_per_atom": -0.17}

=====

Entry 12:
{"formula": "HgPdPbO4", "functional": "PBE-GGA", "state": "relaxed", "lattice_angstrom": [[-2.1344, -3.9417, 4.1162], [-1.0400, -1.7322, -6.6969], [6.1453, -0.6589, 2.5557]], "species": ["O", "O", "O", "O", "O", "O", "O", "O", "Hg", "Hg", "Pb", "Pb", "Pd", "Pd"], "fractional_positions": [[0.7524, 0.0306, 0.7653], [0.7149, 0.4297, 0.2635], [0.2476, 0.9694, 0.2347], [0.2851, 0.5703, 0.3338], [0.7149, 0.4297, 0.6662], [0.2851, 0.5703, 0.7365], [0.7218, 0.9694, 0.2347], [0.2782, 0.0306, 0.7653], [0.8331, 0.6662, 0.0831], [0.1669, 0.3338, 0.9169], [0.5000, 0.0000, 0.5000], [0.5000, 0.0000, 0.0000], [0.0000, 0.5000, 0.5000], [0.5000, 0.5000, 0.5000]], "magnetic_moment_mub_per_fu": 0.00, "e_form_raw_ev_per_atom": -0.50}